Material: BeRhBr2
Method: DFT, PBE
State: relaxed

a = 3.779 Å, b = 7.269 Å, c = 8.031 Å
α = 78.98°, β = 88.44°, γ = 79.06°
Positions (direct):
Be1 0.437 0.463 0.501
Be2 0.949 0.601 0.351
Rh1 0.881 0.569 0.628
Rh2 0.331 0.781 0.438
Br1 0.104 0.879 0.697
Br2 0.460 0.356 0.778
Br3 0.303 0.331 0.298
Br4 0.637 0.802 0.154

Summary:
Symmetry: No. 1
ΔE to the lowest computed polymorph: 16 meV/atom
Density of states at the Fermi level: 0.0 states/eV per cell

---

Material: CdSb2Ir
Method: DFT, PBE
State: relaxed

a = 5.411 Å, b = 5.411 Å, c = 5.411 Å
α = 132.13°, β = 132.13°, γ = 70.02°
Positions (direct):
Sb1 0.000 0.000 0.000
Sb2 0.250 0.750 0.500
Ir1 0.750 0.250 0.500
Cd1 0.500 0.500 0.000

Summary:
Symmetry: No. 119
ΔE to the lowest computed polymorph: 427 meV/atom
Density of states at the Fermi level: 2.0 states/eV per cell

---

Material: CsSnHg2
Method: DFT, PBE
State: relaxed

a = 5.958 Å, b = 7.541 Å, c = 14.440 Å
α = 90.00°, β = 90.00°, γ = 90.00°
Positions (direct):
Cs1 0.750 0.882 0.136
Cs2 0.250 0.618 0.636
Cs3 0.250 0.118 0.864
Cs4 0.750 0.382 0.364
Sn1 0.250 0.863 0.399
Sn2 0.750 0.137 0.601
Sn3 0.250 0.363 0.101
Sn4 0.750 0.637 0.899
Hg1 0.250 0.124 0.256
Hg2 0.750 0.880 0.431
Hg3 0.250 0.120 0.569
Hg4 0.750 0.376 0.756
Hg5 0.250 0.620 0.931
Hg6 0.250 0.624 0.244
Hg7 0.750 0.876 0.744
Hg8 0.750 0.380 0.069

Summary:
Symmetry: No. 62
Density of states at the Fermi level: 7.3 states/eV per cell
ΔE_f: -0.18 eV/atom

---

Material: NdGe4Sb
Method: DFT, PBE
State: relaxed

a = 5.695 Å, b = 5.695 Å, c = 5.695 Å
α = 60.00°, β = 60.00°, γ = 60.00°
Positions (direct):
Sb1 0.250 0.250 0.250
Ge1 0.625 0.625 0.125
Ge2 0.625 0.125 0.625
Ge3 0.625 0.625 0.625
Ge4 0.125 0.625 0.625
Nd1 0.000 0.000 0.000

Summary:
Symmetry: No. 216
DFT total energy: -4.731 eV/atom
Density of states at the Fermi level: 2.3 states/eV per cell

---

Material: AsIr2Se
Method: DFT, PBE
State: relaxed

a = 8.105 Å, b = 8.105 Å, c = 8.105 Å
α = 21.73°, β = 21.73°, γ = 21.73°
Positions (direct):
As1 0.750 0.750 0.750
Ir1 0.004 0.004 0.004
Ir2 0.496 0.496 0.496
Se1 0.250 0.250 0.250

Summary:
Symmetry: No. 166
ΔE to the lowest computed polymorph: 220 meV/atom
Density of states at the Fermi level: 3.2 states/eV per cell

---

Material: HoEr2Sc3Te6
Method: DFT, PBE
State: relaxed

a = 4.240 Å, b = 8.516 Å, c = 9.495 Å
α = 102.96°, β = 102.90°, γ = 90.00°
Positions (direct):
Ho1 0.500 0.000 0.000
Er1 0.834 0.668 0.668
Er2 0.166 0.332 0.332
Sc1 0.500 0.500 0.000
Sc2 0.834 0.167 0.668
Sc3 0.166 0.833 0.332
Te1 0.330 0.923 0.660
Te2 0.664 0.590 0.329
Te3 0.670 0.077 0.340
Te4 0.997 0.258 0.995
Te5 0.003 0.742 0.005
Te6 0.336 0.410 0.671

Summary:
Symmetry: No. 12
DFT total energy: -5.457 eV/atom
Density of states at the Fermi level: 7.5 states/eV per cell

---

Material: KTa2Br
Method: DFT, PBE
State: relaxed

a = 7.346 Å, b = 3.944 Å, c = 3.944 Å
α = 90.00°, β = 90.00°, γ = 90.00°
Positions (direct):
Br1 0.500 0.500 0.000
K1 0.500 0.000 0.500
Ta1 0.000 0.000 0.000
Ta2 0.000 0.500 0.500

Summary:
Symmetry: No. 123
ΔE to the lowest computed polymorph: 722 meV/atom
Density of states at the Fermi level: 3.4 states/eV per cell

---

Material: La4GeBi2
Method: DFT, PBE
State: relaxed

a = 5.597 Å, b = 5.597 Å, c = 9.394 Å
α = 72.67°, β = 72.67°, γ = 90.00°
Positions (direct):
Ge1 0.000 0.000 0.000
Bi1 0.366 0.366 0.267
Bi2 0.634 0.634 0.733
La1 0.172 0.172 0.656
La2 0.828 0.828 0.344
La3 0.000 0.500 0.000
La4 0.500 0.000 0.000

Summary:
Symmetry: No. 139
Density of states at the Fermi level: 5.6 states/eV per cell
ΔE_f: -0.62 eV/atom

---

Material: In2FeP
Method: DFT, PBE
State: relaxed

a = 8.459 Å, b = 8.459 Å, c = 8.459 Å
α = 22.39°, β = 22.39°, γ = 22.39°
Site moments in Bohr magnetons follow the coordinates.
Positions (direct):
Fe1 0.765 0.765 0.765  1.09
In1 0.016 0.016 0.016  -0.01
In2 0.242 0.242 0.242  0.00
P1 0.477 0.477 0.477  -0.05

Summary:
Symmetry: No. 160
Density of states at the Fermi level: 2.6 states/eV per cell
ΔE_f: 0.06 eV/atom

---

Material: EuCdHgAs
Method: DFT, PBE
State: relaxed

a = 5.224 Å, b = 5.224 Å, c = 5.224 Å
α = 60.00°, β = 60.00°, γ = 60.00°
Site moments in Bohr magnetons follow the coordinates.
Positions (direct):
Eu1 0.500 0.500 0.500  6.82
As1 0.250 0.250 0.250  -0.01
Hg1 0.750 0.750 0.750  0.01
Cd1 0.000 0.000 0.000  0.01

Summary:
Symmetry: No. 216
Density of states at the Fermi level: 1.2 states/eV per cell
ΔE_f: -0.45 eV/atom

---

Material: Mg3Ni6P5
Method: DFT, PBE
State: relaxed

a = 3.663 Å, b = 8.891 Å, c = 11.511 Å
α = 90.00°, β = 90.00°, γ = 90.00°
Positions (direct):
Mg1 0.000 0.240 0.658
Mg2 0.500 0.760 0.158
Mg3 0.500 0.760 0.842
Mg4 0.000 0.260 0.000
Mg5 0.500 0.740 0.500
Mg6 0.000 0.240 0.342
Ni1 0.000 0.007 0.831
Ni2 0.500 0.993 0.669
Ni3 0.500 0.405 0.804
Ni4 0.500 0.522 0.000
Ni5 0.000 0.478 0.500
Ni6 0.000 0.595 0.696
Ni7 0.000 0.595 0.304
Ni8 0.500 0.028 0.000
Ni9 0.000 0.007 0.169
Ni10 0.500 0.405 0.196
Ni11 0.000 0.972 0.500
Ni12 0.500 0.993 0.331
P1 0.000 0.531 0.882
P2 0.000 0.844 0.672
P3 0.000 0.872 0.000
P4 0.500 0.469 0.618
P5 0.500 0.128 0.500
P6 0.000 0.531 0.118
P7 0.500 0.469 0.382
P8 0.000 0.844 0.328
P9 0.500 0.156 0.828
P10 0.500 0.156 0.172

Summary:
Symmetry: No. 59
Density of states at the Fermi level: 13.8 states/eV per cell
ΔE_f: -0.53 eV/atom

---

Material: CsRbBa2Tl
Method: DFT, PBE
State: relaxed

a = 6.903 Å, b = 6.903 Å, c = 7.595 Å
α = 90.00°, β = 90.00°, γ = 90.00°
Positions (direct):
Cs1 0.500 0.500 0.500
Tl1 0.000 0.000 0.000
Ba1 0.000 0.500 0.000
Ba2 0.500 0.000 0.000
Rb1 0.000 0.000 0.500

Summary:
Symmetry: No. 123
ΔE to the lowest computed polymorph: 0 meV/atom
Density of states at the Fermi level: 6.8 states/eV per cell
ΔE_f: 0.00 eV/atom